Compound: Cr3InBi
Source: Alexandria
Functional: PBE
Structure: optimized geometry

abc: 5.3183 5.3183 5.3183
angles: 90.00 90.00 90.00
With the nearest neighbours (Å) after each atom.
Space group Pm-3m (No. 221)
Unique sites:
Cr 0.0000 0.0000 0.5000 x3  2 Bi 2.66
In 0.5000 0.5000 0.5000 x1  12 Cr 3.76
Bi 0.0000 0.0000 0.0000 x1  6 Cr 2.66

**VASP energy**: -5.817 eV/atom
**ΔE to the lowest computed polymorph**: 32 meV/atom
**E_form**: 1.28 eV/atom

Compound: CrIn2Bi
Source: Alexandria
Functional: PBE
Structure: optimized geometry

abc: 4.3932 4.3932 21.5357
angles: 90.00 90.00 90.00
With the nearest neighbours (Å) after each atom.
Space group I-42d (No. 122)
Unique sites:
Cr 0.0000 0.0000 0.0000 x4  4 In 3.08, 4 Bi 3.11
In 0.2304 0.2500 0.1250 x8  4 In 2.99-3.23, 2 Cr 3.08, 2 Bi 3.14
Bi 0.0000 0.0000 0.5000 x4  4 Cr 3.11, 4 In 3.14

**VASP energy**: -4.407 eV/atom
**E_form**: 0.34 eV/atom

Compound: Cr3InBi
Source: Alexandria
Functional: PBE
Structure: optimized geometry

abc: 5.0584 5.0584 5.0584
angles: 90.00 90.00 90.00
With the nearest neighbours (Å) after each atom.
Space group Pm-3m (No. 221)
Unique sites:
Cr 0.0000 0.0000 0.5000 x3  2 In 2.53
In 0.0000 0.0000 0.0000 x1  6 Cr 2.53
Bi 0.5000 0.5000 0.5000 x1  12 Cr 3.58

**VASP energy**: -5.849 eV/atom
**ΔE to the lowest computed polymorph**: 0 meV/atom
**E_form**: 1.25 eV/atom

Compound: Cr2InBi
Source: Alexandria
Functional: PBE
Structure: optimized geometry

abc: 7.6701 7.6701 6.3220
angles: 90.00 90.00 90.00
With the nearest neighbours (Å) after each atom.
Space group I-42d (No. 122)
Unique sites:
Cr 0.2471 0.2500 0.1250 x8  2 In 2.81, 2 Bi 2.84
In 0.0000 0.0000 0.0000 x4  4 Cr 2.81
Bi 0.0000 0.0000 0.5000 x4  4 Cr 2.84, 2 In 3.16

**VASP energy**: -5.714 eV/atom
**ΔE to the lowest computed polymorph**: 205 meV/atom
**E_form**: 0.75 eV/atom

Compound: Cr2InBi
Source: Alexandria
Functional: PBE
Structure: optimized geometry

abc: 7.0093 7.0093 7.0093
angles: 90.00 90.00 90.00
With the nearest neighbours (Å) after each atom.
Space group Fm-3m (No. 225)
Unique sites:
Cr 0.2500 0.2500 0.2500 x8  4 Bi 3.04, 4 In 3.04
In 0.0000 0.0000 0.0000 x4  8 Cr 3.04
Bi 0.0000 0.0000 0.5000 x4  8 Cr 3.04

**VASP energy**: -5.918 eV/atom
**ΔE to the lowest computed polymorph**: 0 meV/atom
**E_form**: 0.55 eV/atom

Compound: CrIn2BiOs
Source: Alexandria
Functional: PBE
Structure: optimized geometry

abc: 5.0918 5.0918 4.5561
angles: 90.00 90.00 90.00
With the nearest neighbours (Å) after each atom.
Space group P4/mmm (No. 123)
Unique sites:
Cr 0.0000 0.0000 0.0000 x1  2 Os 2.28, 4 In 2.55
In 0.0000 0.5000 0.0000 x2  2 Cr 2.55
Bi 0.5000 0.5000 0.5000 x1  8 In 3.42, 4 Os 3.60
Os 0.0000 0.0000 0.5000 x1  2 Cr 2.28

**VASP energy**: -5.153 eV/atom
**E_form**: 0.89 eV/atom

Compound: CrInBi2Pb
Source: Alexandria
Functional: PBE
Structure: optimized geometry

abc: 5.9493 5.9493 5.5749
angles: 90.00 90.00 90.00
With the nearest neighbours (Å) after each atom.
Space group P4/mmm (No. 123)
Unique sites:
Cr 0.0000 0.0000 0.0000 x1  8 Bi 4.08, 4 In 4.21
In 0.5000 0.5000 0.0000 x1  2 Pb 2.79
Bi 0.0000 0.5000 0.5000 x2  2 Pb 2.97
Pb 0.5000 0.5000 0.5000 x1  2 In 2.79, 4 Bi 2.97

**VASP energy**: -3.123 eV/atom
**E_form**: 1.64 eV/atom

Compound: Cr2InBiPd
Source: Alexandria
Functional: PBE
Structure: optimized geometry

abc: 5.0860 5.0860 5.5970
angles: 90.00 90.00 90.00
With the nearest neighbours (Å) after each atom.
Space group P4/mmm (No. 123)
Unique sites:
Cr 0.0000 0.5000 0.0000 x2  2 In 2.54
In 0.0000 0.0000 0.0000 x1  4 Cr 2.54, 2 Bi 2.80
Bi 0.0000 0.0000 0.5000 x1  2 In 2.80
Pd 0.5000 0.5000 0.5000 x1  4 Bi 3.60, 8 Cr 3.78

**VASP energy**: -4.833 eV/atom
**E_form**: 1.38 eV/atom

Compound: RbCr2InBi
Source: Alexandria
Functional: PBE
Structure: optimized geometry

abc: 5.3394 5.3394 6.1192
angles: 90.00 90.00 90.00
With the nearest neighbours (Å) after each atom.
Space group P4/mmm (No. 123)
Unique sites:
Rb 0.0000 0.0000 0.0000 x1  2 In 3.06
Cr 0.0000 0.5000 0.5000 x2  2 In 2.67
In 0.0000 0.0000 0.5000 x1  4 Cr 2.67
Bi 0.5000 0.5000 0.0000 x1  4 Rb 3.78, 8 Cr 4.06

**VASP energy**: -4.276 eV/atom
**E_form**: 1.09 eV/atom

Compound: Cr2BiIr2
Source: Alexandria
Functional: PBE
Structure: optimized geometry

abc: 7.5678 7.5678 2.9047
angles: 90.00 90.00 90.00
With the nearest neighbours (Å) after each atom.
Space group P4/mbm (No. 127)
Unique sites:
Cr 0.1613 0.3387 0.0000 x4  6 Ir 2.65-2.67, 2 Cr 2.90
Bi 0.0000 0.0000 0.5000 x2  2 Bi 2.90, 4 Ir 2.97, 8 Cr 3.19
Ir 0.1292 0.6292 0.5000 x4  6 Cr 2.65-2.67, 3 Ir 2.77-2.90

**VASP energy**: -7.931 eV/atom
**E_form**: 0.24 eV/atom

Compound: CrBiIr
Source: Alexandria
Functional: PBE
Structure: optimized geometry

abc: 10.8428 3.6749 6.3390
angles: 90.00 90.00 90.00
With the nearest neighbours (Å) after each atom.
Space group Amm2 (No. 38)
Unique sites:
Cr 0.1250 0.0000 0.0000 x4  3 Ir 2.51-2.52, 1 Cr 2.71
Bi 0.3328 0.0000 0.3325 x4  3 Ir 2.79, 3 Cr 3.09-3.10
Ir 0.0000 0.0000 0.6657 x2  6 Cr 2.51-2.52
Ir 0.5000 0.0000 0.6661 x2  6 Bi 2.79

**VASP energy**: -6.874 eV/atom
**E_form**: 0.58 eV/atom

Compound: CrBiIr2
Source: Alexandria
Functional: PBE
Structure: optimized geometry

abc: 5.7237 5.7237 11.4184
angles: 90.00 90.00 90.00
With the nearest neighbours (Å) after each atom.
Space group I-42d (No. 122)
Unique sites:
Cr 0.0000 0.0000 0.0000 x4  4 Ir 2.30
Bi 0.0000 0.0000 0.5000 x4  4 Ir 2.68
Ir 0.1913 0.2500 0.1250 x8  2 Cr 2.30

**VASP energy**: -7.054 eV/atom
**E_form**: 0.75 eV/atom